# 1
Density functional theory data (PBE) for a relaxed structure of BaAgSO.

Its crystal system is orthorhombic.

The space group is Cmcm (No. 63) and the conventional cell measures 3.783, 14.286 and 6.235 Å, with angles of 90.00, 90.00 and 90.00 degrees. Symmetry generates all atoms from Ba at (0.000, 0.141, 0.250), Ag at (0.000, 0.428, 0.250), S at (0.000, 0.187, 0.750) and O at (0.000, 0.000, 0.000).


# 2
Density functional theory data (PBE) for a relaxed structure of BaAgSO.

Its crystal system is tetragonal.

The space group is P4/nmm (No. 129, origin choice 2) and the conventional cell measures 4.076, 4.076 and 10.061 Å, with angles of 90.00, 90.00 and 90.00 degrees. Symmetry generates all atoms from Ba at (0.250, 0.250, 0.160), Ag at (0.250, 0.750, 0.500), S at (0.250, 0.250, 0.717) and O at (0.250, 0.250, 0.899).


no.,density (g/cm3),polymorph energy (0 for the lowest one) (eV/atom),DFT total energy (eV/atom)
1,5.781,0.320,-4.314
2,5.827,0.040,-4.594